Below is a relaxed structure of RbMnF3, with properties calculated at the PBE with a Hubbard U level.

The raw total energy comes out at -5.426 eV per atom. As for the spin magnetization: 1.000 μB per atom. The volume is 188.8 Å³/cell. The calculation puts the mass density at 3.5 g/cm3.

abc: 16.588 7.794 7.794
angles: 155.57 150.61 29.39
Last column: magnetic moment on the atom in μB.
Fractional coordinates of all 10 atoms:
Mn: 0.289 0.128 0.872  4.67
Mn: 0.711 0.872 0.128  4.67
F: 0.052 0.296 0.704  0.04
F: 0.948 0.704 0.296  0.04
F: 0.392 0.448 0.552  0.04
F: 0.608 0.552 0.448  0.04
F: 0.713 0.283 0.717  0.04
F: 0.287 0.717 0.283  0.04
Rb: 0.227 0.957 0.043  0.00
Rb: 0.773 0.043 0.957  0.00